This record from Alexandria describes a geometry-optimized YTlFe2 structure. The functional is PBE.

Unit cell a=4.731 b=4.731 c=5.309 alpha=62.54 beta=62.54 gamma=52.93
Site moments in Bohr magnetons follow the coordinates.
Sites, in units of the cell vectors:
Fe1 0.030 0.030 0.845  2.12
Y1 0.250 0.250 0.250  -0.26
Tl1 0.750 0.750 0.750  -0.07
Fe2 0.470 0.470 0.655  2.12

This record from Alexandria describes a geometry-optimized YTlFe2 structure. The functional is PBE.

Unit cell a=3.239 b=3.239 c=7.251 alpha=90.00 beta=90.00 gamma=90.00
Site moments in Bohr magnetons follow the coordinates.
Sites, in units of the cell vectors:
Fe1 0.500 0.500 0.201  2.66
Y1 0.500 0.500 0.793  -0.27
Tl1 0.000 0.000 0.451  -0.03
Fe2 0.000 0.000 0.056  2.41

This record from Alexandria describes a geometry-optimized YTlFe2 structure. The functional is PBE.

Unit cell a=4.594 b=4.594 c=4.594 alpha=60.00 beta=60.00 gamma=60.00
Sites, in units of the cell vectors:
Fe1 0.750 0.750 0.750
Tl1 0.500 0.500 0.500
Y1 0.000 0.000 0.000
Fe2 0.250 0.250 0.250

This record from Alexandria describes a geometry-optimized YTl2Fe structure. The functional is PBE.

Unit cell a=5.099 b=5.099 c=5.099 alpha=60.00 beta=60.00 gamma=60.00
Site moments in Bohr magnetons follow the coordinates.
Sites, in units of the cell vectors:
Tl1 0.000 0.000 0.000  -0.01
Fe1 0.500 0.500 0.500  2.55
Y1 0.750 0.750 0.750  -0.20
Tl2 0.250 0.250 0.250  -0.01

This record from Alexandria describes a geometry-optimized YTlFe2 structure. The functional is PBE.

Unit cell a=5.185 b=5.185 c=5.185 alpha=131.82 beta=131.82 gamma=70.51
Site moments in Bohr magnetons follow the coordinates.
Sites, in units of the cell vectors:
Y1 0.750 0.250 0.500  -0.27
Fe1 0.250 0.750 0.500  2.47
Tl1 0.500 0.500 0.000  -0.06
Fe2 0.000 0.000 0.000  2.60

This record from Alexandria describes a geometry-optimized YTl2Fe structure. The functional is PBE.

Unit cell a=4.510 b=4.510 c=4.544 alpha=89.98 beta=89.98 gamma=90.02
Site moments in Bohr magnetons follow the coordinates.
Sites, in units of the cell vectors:
Tl1 0.000 0.000 0.000  -0.01
Y1 0.500 0.000 0.500  -0.11
Tl2 0.500 0.500 0.000  -0.01
Fe1 0.000 0.500 0.500  2.85

This record from Alexandria describes a geometry-optimized Y12TlFe6 structure. The functional is PBE.

Unit cell a=8.455 b=8.455 c=8.455 alpha=109.47 beta=109.47 gamma=109.47
Site moments in Bohr magnetons follow the coordinates.
Sites, in units of the cell vectors:
Fe1 0.391 0.500 0.891  1.51
Fe2 0.891 0.391 0.500  1.51
Y1 0.104 0.805 0.298  -0.12
Tl1 0.000 0.000 0.000  0.03
Y2 0.195 0.298 0.493  -0.12
Y3 0.298 0.104 0.805  -0.12
Fe3 0.109 0.609 0.500  1.51
Y4 0.493 0.195 0.298  -0.12
Y5 0.195 0.702 0.896  -0.12
Fe4 0.500 0.891 0.391  1.51
Y6 0.805 0.702 0.507  -0.12
Y7 0.805 0.298 0.104  -0.12
Y8 0.702 0.507 0.805  -0.12
Fe5 0.609 0.500 0.109  1.51
Y9 0.507 0.805 0.702  -0.12
Fe6 0.500 0.109 0.609  1.51
Y10 0.298 0.493 0.195  -0.12
Y11 0.702 0.896 0.195  -0.12
Y12 0.896 0.195 0.702  -0.12

This record from Alexandria describes a geometry-optimized YTlFe2 structure. The functional is PBE.

Unit cell a=8.835 b=8.835 c=8.835 alpha=21.64 beta=21.64 gamma=21.64
Site moments in Bohr magnetons follow the coordinates.
Sites, in units of the cell vectors:
Fe1 0.998 0.998 0.998  2.71
Fe2 0.502 0.502 0.502  2.71
Y1 0.750 0.750 0.750  -0.36
Tl1 0.250 0.250 0.250  -0.02

Number 1: DFT total energy -6.17 eV/atom, energy of formation 25.7 kJ per mole of atoms, density of states at the Fermi level 4.90 states/eV per cell. Number 2: DFT total energy -6.30 eV/atom, energy of formation 12.9 kJ per mole of atoms, density of states at the Fermi level 3.07 states/eV per cell. Number 3: DFT total energy -5.94 eV/atom, energy of formation 48.6 kJ per mole of atoms, density of states at the Fermi level 17.20 states/eV per cell. Number 4: DFT total energy -4.60 eV/atom, energy of formation 30.2 kJ per mole of atoms, density of states at the Fermi level 7.06 states/eV per cell. Number 5: DFT total energy -6.13 eV/atom, energy of formation 30.3 kJ per mole of atoms, density of states at the Fermi level 4.49 states/eV per cell. Number 6: DFT total energy -4.78 eV/atom, energy of formation 13.3 kJ per mole of atoms, density of states at the Fermi level 3.75 states/eV per cell. Number 7: DFT total energy -6.95 eV/atom, energy of formation -6.5 kJ per mole of atoms, density of states at the Fermi level 18.12 states/eV per cell. Number 8: DFT total energy -5.79 eV/atom, energy of formation 62.3 kJ per mole of atoms, density of states at the Fermi level 6.76 states/eV per cell.